1.
! MgMnPbO4 GGA+U relaxed; values from VASP
&SYSTEM
  ibrav = 0, nat = 14, ntyp = 4
/
ATOMIC_SPECIES
Pb 207.20 Pb.upf
O 16.00 O.upf
Mg 24.30 Mg.upf
Mn 54.94 Mn.upf
CELL_PARAMETERS angstrom
6.329 0.000 0.000
3.164 5.578 0.002
3.164 1.701 5.313
ATOMIC_POSITIONS angstrom
Pb 0.000 0.000 0.000
Pb 3.164 3.640 2.657
O 7.955 4.618 1.336
O 6.329 1.700 1.345
O 7.955 2.661 3.978
O 4.702 2.661 3.978
O 4.702 4.618 1.336
O 6.329 5.580 3.970
O 3.164 1.841 1.448
O 9.493 5.438 3.866
Mg 6.329 3.675 4.718
Mg 6.329 3.605 0.596
Mn 1.582 0.850 2.656
Mn 4.747 0.850 2.656
! space group: Imma, No. 74
! E: -6.256 eV per atom

2.
! PmMgMnO4 GGA+U relaxed; values from VASP
&SYSTEM
  ibrav = 0, nat = 14, ntyp = 4
/
ATOMIC_SPECIES
O 16.00 O.upf
Mg 24.30 Mg.upf
Pm 145.00 Pm.upf
Mn 54.94 Mn.upf
CELL_PARAMETERS angstrom
5.482 0.082 0.000
-2.127 5.054 0.000
0.000 0.000 7.057
ATOMIC_POSITIONS angstrom
O -0.309 3.865 3.504
O 3.664 1.270 7.032
O 2.475 3.942 5.293
O 0.880 1.194 1.764
O 2.615 3.850 1.764
O -0.309 3.865 0.025
O 3.664 1.270 3.554
O 0.740 1.286 5.293
Mg -1.033 4.339 5.293
Mg 4.388 0.797 1.764
Pm 1.678 2.568 3.529
Pm 1.678 2.568 0.000
Mn 4.241 0.893 5.293
Mn -0.886 4.243 1.764
! space group: Cmcm, No. 63
! E: -7.160 eV per atom

3.
! Pm2MgMnO6 GGA+U relaxed; values from VASP
&SYSTEM
  ibrav = 0, nat = 20, ntyp = 4
/
ATOMIC_SPECIES
Pm 145.00 Pm.upf
Mn 54.94 Mn.upf
O 16.00 O.upf
Mg 24.30 Mg.upf
CELL_PARAMETERS angstrom
-0.333 -4.456 -3.074
5.529 -0.743 0.477
-1.123 -4.302 6.329
ATOMIC_POSITIONS angstrom
Pm 2.016 -3.577 0.302
Pm -0.867 -7.667 1.744
Pm 4.940 -1.834 1.987
Pm 2.056 -5.923 3.429
Mn 2.203 -2.523 3.403
Mn -0.167 -2.228 -1.537
O 0.823 -5.757 1.404
O 1.756 -3.941 4.640
O 3.454 -6.534 1.377
O 0.618 -2.967 2.354
O 3.796 -2.103 -0.284
O 3.106 -8.202 4.004
O 0.967 -1.299 -0.273
O 4.394 -5.815 4.006
O 2.316 -5.560 -0.909
O 3.249 -3.744 2.327
O 0.276 -7.398 4.014
O -0.322 -3.685 -0.275
Mg 2.764 -0.371 0.238
Mg -0.728 -4.379 1.627
! space group: P2_1/c, No. 14
! E: -7.572 eV per atom

4.
! PrMgMn2O6 GGA+U relaxed; values from VASP
&SYSTEM
  ibrav = 0, nat = 20, ntyp = 4
/
ATOMIC_SPECIES
O 16.00 O.upf
Mn 54.94 Mn.upf
Mg 24.30 Mg.upf
Pr 140.91 Pr.upf
CELL_PARAMETERS angstrom
-4.479 -2.382 -1.568
2.884 -4.413 -1.535
-0.855 -2.983 6.970
ATOMIC_POSITIONS angstrom
O -3.443 -2.745 0.962
O -0.773 -5.112 4.464
O -0.247 -3.276 0.172
O -3.774 -3.900 3.661
O -2.280 -5.279 0.032
O 0.013 -5.592 1.784
O -0.209 -2.579 3.046
O -2.608 -6.425 2.710
O -3.120 -3.271 -1.782
O 1.119 -7.251 3.768
O -0.305 -4.905 -2.136
O 1.642 -5.424 -0.503
Mn -0.281 -5.263 -0.187
Mn -3.977 -4.213 -0.215
Mn -0.706 -6.745 3.278
Mn -4.407 -5.713 3.290
Mg -1.576 -1.953 -1.029
Mg -2.439 -7.393 0.712
Pr -1.865 -4.013 2.229
Pr 1.982 -3.136 -1.099
! space group: Pmn2_1, No. 31
! E: -7.271 eV per atom

5.
! MgMnPtO6 GGA+U relaxed; values from VASP
&SYSTEM
  ibrav = 0, nat = 18, ntyp = 4
/
ATOMIC_SPECIES
O 16.00 O.upf
Mn 54.94 Mn.upf
Mg 24.30 Mg.upf
Pt 195.08 Pt.upf
CELL_PARAMETERS angstrom
5.056 0.000 0.000
-2.528 4.379 0.000
0.000 0.000 8.433
ATOMIC_POSITIONS angstrom
O -1.676 2.940 7.410
O -0.820 1.457 5.239
O -0.856 4.360 5.239
O 3.348 2.922 3.194
O 3.384 0.018 3.194
O 0.856 4.360 7.410
O 0.820 1.457 7.410
O 1.672 0.018 1.022
O 0.852 1.439 3.194
O 1.708 2.922 1.022
O 1.676 2.940 5.239
O 4.204 1.439 1.022
Mn 0.000 0.000 4.216
Mn 0.000 0.000 0.000
Mg 2.528 1.460 6.324
Mg 0.000 2.919 2.108
Pt 2.528 1.460 2.108
Pt 0.000 2.919 6.324
! space group: P-31c, No. 163
! E: -6.027 eV per atom

6.
! PuMgMn2O8 GGA+U relaxed; values from VASP
&SYSTEM
  ibrav = 0, nat = 12, ntyp = 4
/
ATOMIC_SPECIES
O 16.00 O.upf
Pu 244.00 Pu.upf
Mn 54.94 Mn.upf
Mg 24.30 Mg.upf
CELL_PARAMETERS angstrom
-4.170 2.989 2.710
-2.030 -5.160 -1.709
4.435 -0.815 3.651
ATOMIC_POSITIONS angstrom
O 2.146 -0.191 3.533
O -0.033 -2.815 3.033
O -0.418 0.496 2.043
O -2.007 -0.968 3.972
O -4.358 -1.091 2.043
O -2.928 1.321 3.228
O -1.284 -1.875 0.694
O -0.316 1.328 4.479
Pu -0.347 -3.530 1.221
Mn -3.100 -1.085 0.500
Mn -1.417 0.544 3.430
Mg 0.000 0.000 0.000
! space group: I-4m2, No. 119
! E: -7.605 eV per atom

7.
! PuMg2MnO6 GGA+U relaxed; values from VASP
&SYSTEM
  ibrav = 0, nat = 10, ntyp = 4
/
ATOMIC_SPECIES
Mn 54.94 Mn.upf
O 16.00 O.upf
Pu 244.00 Pu.upf
Mg 24.30 Mg.upf
CELL_PARAMETERS angstrom
-0.949 -4.508 2.717
1.760 -4.683 -1.890
4.398 -2.483 2.681
ATOMIC_POSITIONS angstrom
Mn 3.123 -8.866 2.174
O 4.207 -7.085 1.809
O 2.526 -5.922 -0.466
O 0.922 -4.395 1.919
O 2.868 -5.639 3.759
O 3.959 -4.334 1.570
O 1.312 -7.624 2.028
Pu 0.455 -3.038 0.383
Mg 2.299 -5.880 1.576
Mg 4.168 -2.515 2.547
! space group: R3, No. 146
! E: -7.899 eV per atom

8.
! RbMg6MnO8 GGA+U relaxed; values from VASP
&SYSTEM
  ibrav = 0, nat = 16, ntyp = 4
/
ATOMIC_SPECIES
Mg 24.30 Mg.upf
Rb 85.47 Rb.upf
O 16.00 O.upf
Mn 54.94 Mn.upf
CELL_PARAMETERS angstrom
4.561 0.000 0.000
0.000 4.561 0.000
0.000 0.000 8.716
ATOMIC_POSITIONS angstrom
Mg 0.000 2.280 6.567
Mg 2.280 2.280 4.358
Mg 2.280 2.280 0.000
Mg 2.280 0.000 6.567
Mg 2.280 0.000 2.149
Mg 0.000 2.280 2.149
Rb 0.000 0.000 4.358
O 0.000 2.280 0.000
O 2.280 2.280 6.557
O 0.000 2.280 4.358
O 0.000 0.000 6.814
O 2.280 0.000 4.358
O 2.280 0.000 0.000
O 0.000 0.000 1.902
O 2.280 2.280 2.159
Mn 0.000 0.000 0.000
! space group: P4/mmm, No. 123
! E: -5.651 eV per atom

9.
! RbMg6MnO8 GGA+U relaxed; values from VASP
&SYSTEM
  ibrav = 0, nat = 16, ntyp = 4
/
ATOMIC_SPECIES
O 16.00 O.upf
Rb 85.47 Rb.upf
Mg 24.30 Mg.upf
Mn 54.94 Mn.upf
CELL_PARAMETERS angstrom
-1.701 4.032 -0.833
-0.314 -1.026 -4.324
-8.373 -3.247 1.378
ATOMIC_POSITIONS angstrom
O -6.212 -2.409 1.022
O -0.157 -0.513 -2.162
O -5.037 0.392 0.272
O -2.161 -0.838 0.356
O -4.343 -2.137 -1.473
O -7.021 -0.829 -1.589
O -3.366 0.588 -2.190
O -0.850 2.016 -0.417
Rb -1.007 1.503 -2.578
Mg -2.414 -1.388 -1.790
Mg -4.187 -1.624 0.689
Mg -6.966 -0.356 0.590
Mg -6.273 -2.885 -1.155
Mg -3.108 1.141 -0.045
Mg -5.194 -0.121 -1.890
Mn 0.000 0.000 0.000
! space group: P4/mmm, No. 123
! E: -5.650 eV per atom

10.
! Mg2MnReO GGA+U relaxed; values from VASP
&SYSTEM
  ibrav = 0, nat = 5, ntyp = 4
/
ATOMIC_SPECIES
Mg 24.30 Mg.upf
O 16.00 O.upf
Mn 54.94 Mn.upf
Re 186.21 Re.upf
CELL_PARAMETERS angstrom
-4.086 2.627 -2.280
0.678 -1.755 -3.238
-3.340 -3.946 1.439
ATOMIC_POSITIONS angstrom
Mg -1.670 -1.973 0.720
Mg -2.043 1.313 -1.140
O 0.339 -0.878 -1.619
Mn -3.374 -1.537 -2.039
Re 0.000 0.000 0.000
! space group: P4/mmm, No. 123
! E: -5.351 eV per atom

11.
! Mg2MnRuO6 GGA+U relaxed; values from VASP
&SYSTEM
  ibrav = 0, nat = 10, ntyp = 4
/
ATOMIC_SPECIES
Mg 24.30 Mg.upf
O 16.00 O.upf
Mn 54.94 Mn.upf
Ru 101.07 Ru.upf
CELL_PARAMETERS angstrom
-3.787 -0.671 -0.276
0.866 -5.440 1.338
-0.622 1.252 5.494
ATOMIC_POSITIONS angstrom
Mg -3.654 0.034 2.504
Mg -2.910 -3.312 0.426
O -2.619 -3.620 4.892
O -2.739 -1.560 1.532
O -3.045 -0.945 4.234
O -0.632 -2.228 3.361
O -2.313 -4.235 2.190
O -0.715 -0.127 -0.052
Mn -2.522 -0.447 -0.184
Ru -2.409 -2.542 3.232
! space group: P4mm, No. 99
! E: -6.410 eV per atom

12.
! MgMnRuO6 GGA+U relaxed; values from VASP
&SYSTEM
  ibrav = 0, nat = 18, ntyp = 4
/
ATOMIC_SPECIES
O 16.00 O.upf
Ru 101.07 Ru.upf
Mg 24.30 Mg.upf
Mn 54.94 Mn.upf
CELL_PARAMETERS angstrom
-4.830 -1.112 0.607
3.512 -3.052 1.814
-0.066 4.323 7.398
ATOMIC_POSITIONS angstrom
O -1.597 0.097 1.155
O -2.456 -1.472 4.574
O -0.844 -0.099 6.239
O 0.212 0.062 8.664
O -0.541 0.258 3.580
O -3.226 0.819 3.228
O 1.842 -0.660 6.591
O 1.072 1.631 5.245
O -3.612 -1.546 2.097
O -0.420 2.384 7.301
O -0.964 -2.225 2.518
O 2.228 1.705 7.722
Ru -2.066 -0.678 2.859
Ru 0.681 0.837 6.960
Mg -2.099 1.483 6.558
Mg 0.715 -1.324 3.261
Mn -0.033 2.161 3.699
Mn 0.000 0.000 0.000
! space group: P-31c, No. 163
! E: -6.616 eV per atom

13.
! MgMnSO GGA+U relaxed; values from VASP
&SYSTEM
  ibrav = 0, nat = 8, ntyp = 4
/
ATOMIC_SPECIES
Mg 24.30 Mg.upf
Mn 54.94 Mn.upf
O 16.00 O.upf
S 32.06 S.upf
CELL_PARAMETERS angstrom
4.087 0.000 0.000
2.044 3.540 0.000
2.044 1.180 9.210
ATOMIC_POSITIONS angstrom
Mg 6.131 3.540 6.084
Mg 2.044 1.180 3.126
Mn 4.087 2.360 1.037
Mn 4.087 2.360 8.172
O 6.131 3.540 8.172
O 2.044 1.180 1.038
S 6.131 3.540 3.273
S 2.044 1.180 5.937
! space group: R-3m, No. 166
! E: -5.881 eV per atom

14.
! MgMn2SbO6 GGA+U relaxed; values from VASP
&SYSTEM
  ibrav = 0, nat = 10, ntyp = 4
/
ATOMIC_SPECIES
O 16.00 O.upf
Mn 54.94 Mn.upf
Mg 24.30 Mg.upf
Sb 121.76 Sb.upf
CELL_PARAMETERS angstrom
5.265 0.077 -0.030
2.699 4.625 -0.081
2.627 1.499 4.745
ATOMIC_POSITIONS angstrom
O 6.117 1.702 3.618
O 3.748 3.094 3.563
O 4.264 4.764 0.995
O 7.262 3.181 1.187
O 6.076 4.504 3.600
O 4.379 1.331 1.100
Mn 5.282 3.111 1.892
Mn 2.621 1.510 4.542
Mg 7.924 4.653 2.651
Sb 2.628 1.584 0.131
! space group: P1, No. 1
! E: -6.844 eV per atom

15.
! MgMnSbO6 GGA+U relaxed; values from VASP
&SYSTEM
  ibrav = 0, nat = 18, ntyp = 4
/
ATOMIC_SPECIES
Mg 24.30 Mg.upf
O 16.00 O.upf
Mn 54.94 Mn.upf
Sb 121.76 Sb.upf
CELL_PARAMETERS angstrom
5.126 0.000 0.000
-2.563 4.439 0.000
0.000 0.000 8.890
ATOMIC_POSITIONS angstrom
Mg 0.000 0.000 0.000
Mg 0.000 0.000 4.445
O 4.180 1.533 1.171
O 0.855 1.585 7.719
O -1.617 2.906 7.719
O -0.855 1.585 5.616
O 1.800 0.052 1.171
O 3.418 2.854 3.274
O 1.708 2.854 1.171
O 0.762 4.387 7.719
O 0.946 1.533 3.274
O -0.762 4.387 5.616
O 3.325 0.052 3.274
O 1.617 2.906 5.616
Mn 0.000 2.959 6.668
Mn 2.563 1.480 2.223
Sb 0.000 2.959 2.223
Sb 2.563 1.480 6.668
! space group: P-31c, No. 163
! E: -6.289 eV per atom

16.
! Mg2MnSbO6 GGA+U relaxed; values from VASP
&SYSTEM
  ibrav = 0, nat = 20, ntyp = 4
/
ATOMIC_SPECIES
O 16.00 O.upf
Mg 24.30 Mg.upf
Sb 121.76 Sb.upf
Mn 54.94 Mn.upf
CELL_PARAMETERS angstrom
-0.421 0.910 -5.224
-4.608 -2.797 0.317
-3.779 6.385 1.417
ATOMIC_POSITIONS angstrom
O -4.708 6.239 -2.957
O -5.441 -0.394 -2.667
O -3.162 2.208 -1.088
O -7.002 4.582 -1.893
O -3.279 1.218 -4.167
O -5.509 0.641 -0.003
O -1.806 -0.084 -1.596
O -5.529 3.279 0.677
O -5.646 2.290 -2.402
O -3.299 3.857 -3.486
O -3.367 4.892 -0.823
O -4.100 -1.741 -0.532
Mg -5.214 3.888 -1.224
Mg -3.594 0.610 -2.265
Mg -7.543 3.067 -3.736
Mg -1.265 1.431 0.246
Sb -0.211 0.455 -2.612
Sb -2.100 3.648 -1.903
Mn -2.304 -1.399 0.159
Mn -4.193 1.794 0.867
! space group: P2_1/m, No. 11
! excess energy over the best structure of this formula in the dataset: 54 meV/atom

17.
! Mg2MnSbO6 GGA+U relaxed; values from VASP
&SYSTEM
  ibrav = 0, nat = 10, ntyp = 4
/
ATOMIC_SPECIES
Mn 54.94 Mn.upf
O 16.00 O.upf
Mg 24.30 Mg.upf
Sb 121.76 Sb.upf
CELL_PARAMETERS angstrom
5.128 0.051 0.044
2.607 4.636 0.139
2.614 1.682 4.731
ATOMIC_POSITIONS angstrom
Mn 7.760 4.771 2.788
O 5.891 1.907 3.692
O 4.302 1.405 1.308
O 6.998 3.200 1.251
O 6.057 4.604 3.716
O 3.631 3.288 3.642
O 4.155 4.759 1.375
Mg 2.627 1.655 4.420
Mg 5.165 3.125 2.104
Sb 2.578 1.572 0.283
! space group: P1, No. 1
! excess energy over the best structure of this formula in the dataset: 0 meV/atom

18.
! MgMn2SbO4 GGA+U relaxed; values from VASP
&SYSTEM
  ibrav = 0, nat = 16, ntyp = 4
/
ATOMIC_SPECIES
Mg 24.30 Mg.upf
Sb 121.76 Sb.upf
Mn 54.94 Mn.upf
O 16.00 O.upf
CELL_PARAMETERS angstrom
-4.309 -2.958 3.418
2.624 -5.421 -1.653
4.125 4.945 3.239
ATOMIC_POSITIONS angstrom
Mg -0.935 -3.197 4.210
Mg 1.312 -2.710 -0.827
Sb 1.220 -1.717 2.502
Sb -0.185 1.986 6.656
Mn 2.062 2.472 1.619
Mn -0.843 -4.190 0.882
Mn -2.155 -1.479 1.709
Mn -0.092 0.993 3.328
O 3.193 -2.196 1.455
O 0.365 -3.840 2.632
O -0.754 -1.239 3.548
O 1.344 1.220 5.141
O 3.506 2.738 3.196
O 1.095 -4.655 -0.138
O -1.067 -6.173 1.807
O 2.074 0.405 2.371
! space group: C2/c, No. 15
! E: -6.516 eV per atom

19.
! Mg2MnSeO6 GGA+U relaxed; values from VASP
&SYSTEM
  ibrav = 0, nat = 10, ntyp = 4
/
ATOMIC_SPECIES
Mg 24.30 Mg.upf
O 16.00 O.upf
Mn 54.94 Mn.upf
Se 78.96 Se.upf
CELL_PARAMETERS angstrom
5.105 0.000 0.000
2.552 4.421 0.000
2.552 1.474 4.873
ATOMIC_POSITIONS angstrom
Mg 5.105 2.947 2.325
Mg 2.552 1.474 4.451
O 6.045 4.332 3.555
O 5.834 1.441 3.555
O 6.980 2.989 1.259
O 3.436 3.069 3.555
O 4.131 4.550 1.259
O 4.203 1.302 1.259
Mn 7.657 4.421 2.716
Se 2.552 1.474 0.512
! space group: R3, No. 146
! E: -6.028 eV per atom

Results for M_tot: 9.98, 8.00, 5.87, 14.00, 2.00, 8.00, 7.00, 4.83, 4.76, 5.09, 3.09, 5.50, 10.00, 9.00, 3.99, 8.00, 4.00, 19.53, 3.00 (in μB/cell, following the order of the records).